Cu2MoSe | GGA-PBE | relaxed

The calculation puts the density of states at the Fermi level at 2.26 states/eV/f.u. The total energy comes out at -5.526 eV/atom. As for the total magnetization: 0.00 Bohr magnetons per cell. As for the space group: P4mm.

Unit cell a=3.1703 b=3.1703 c=5.7472 alpha=90.00 beta=90.00 gamma=90.00
Last column: nearest neighbours and their distance in Å.
Element x y z (fractional)
1 Cu 0.0000 0.0000 0.0000  4 Cu 2.51, 1 Mo 2.73
2 Cu 0.5000 0.5000 0.1966  4 Cu 2.51, 4 Mo 2.75
3 Mo 0.0000 0.0000 0.4750  4 Se 2.60, 5 Cu 2.73-2.75
4 Se 0.5000 0.5000 0.7043  4 Mo 2.60, 5 Cu 2.81-2.83

---

NdErCu4 | GGA-PBE | relaxed

The energy of formation from the pure elements comes out at -0.2411 eV per atom. Its relative energy among the computed polymorphs is 0.000 kcal/mol of atoms. The calculation puts the density of states at the Fermi level at 3.02 states/eV/f.u. The total energy comes out at -4.527 eV/atom. As for the total magnetization: 0.00 Bohr magnetons per cell. As for the space group: Imm2.

Unit cell a=5.5103 b=5.5103 c=5.5103 alpha=133.92 beta=101.87 gamma=95.77
Last column: nearest neighbours and their distance in Å.
Element x y z (fractional)
1 Nd 0.0000 0.0000 0.0000  12 Cu 2.98-3.15
2 Er 0.4158 0.9158 0.5000  12 Cu 2.95-3.14
3 Cu 0.4232 0.6179 0.8053  4 Cu 2.50-2.70
4 Cu 0.5875 0.2887 0.2988  4 Cu 2.50-2.80
5 Cu 0.8126 0.6179 0.1947  4 Cu 2.50-2.70
6 Cu 0.9900 0.2887 0.7012  4 Cu 2.50-2.80

---

CdGeTe4Au2 | GGA-PBE | relaxed

The calculation puts the density of states at the Fermi level at 1.25 states/eV/f.u. The total energy comes out at -3.222 eV/atom. As for the total magnetization: 0.00 Bohr magnetons per cell. As for the space group: I-42m.

Unit cell a=7.7773 b=7.7773 c=7.7773 alpha=131.11 beta=131.11 gamma=71.63
Last column: nearest neighbours and their distance in Å.
Element x y z (fractional)
1 Cd 0.0000 0.0000 0.0000  4 Te 2.90
2 Ge 0.5000 0.5000 0.0000  4 Te 2.69
3 Te 0.1354 0.6071 0.0000  1 Ge 2.69, 2 Au 2.74, 1 Cd 2.90
4 Te 0.3929 0.3929 0.5284  1 Ge 2.69, 2 Au 2.74, 1 Cd 2.90
5 Te 0.6071 0.1354 0.0000  1 Ge 2.69, 2 Au 2.74, 1 Cd 2.90
6 Te 0.8646 0.8646 0.4716  1 Ge 2.69, 2 Au 2.74, 1 Cd 2.90
7 Au 0.2500 0.7500 0.5000  4 Te 2.74
8 Au 0.7500 0.2500 0.5000  4 Te 2.74

---

TaCrIn2 | GGA-PBE | relaxed

The energy of formation from the pure elements comes out at 0.3814 eV per atom. Its relative energy among the computed polymorphs is 1.917 kcal/mol of atoms. The calculation puts the density of states at the Fermi level at 2.30 states/eV/f.u. The total energy comes out at -6.357 eV/atom. As for the total magnetization: 2.75 Bohr magnetons per cell. As for the space group: Pmm2.

Unit cell a=3.0111 b=4.8336 c=5.2715 alpha=90.00 beta=90.00 gamma=90.00
Last column: nearest neighbours and their distance in Å.
Element x y z (fractional)
1 Ta 0.0000 0.0000 0.0000  2 Cr 2.81, 8 In 2.93-3.14, 2 Ta 3.01
2 Cr 0.0000 0.5000 0.7275  2 Ta 2.81, 6 In 2.90-3.04, 2 Cr 3.01
3 In 0.5000 0.0000 0.5233  4 Ta 2.93-3.14, 4 In 2.97-3.01, 4 Cr 3.04
4 In 0.5000 0.5000 0.1974  4 Cr 2.90-3.17, 4 In 2.97-3.01, 4 Ta 3.03

---

Pr2SmNb | GGA-PBE | relaxed

The energy of formation from the pure elements comes out at 0.6101 eV per atom. The calculation puts the density of states at the Fermi level at 6.62 states/eV/f.u. The total energy comes out at -5.477 eV/atom. As for the total magnetization: 0.02 Bohr magnetons per cell. As for the space group: R-3m.

Unit cell a=12.2085 b=12.2085 c=12.2085 alpha=15.90 beta=15.90 gamma=15.90
Last column: nearest neighbours and their distance in Å.
Element x y z (fractional)
1 Pr 0.0809 0.0809 0.0809  1 Nb 2.93
2 Pr 0.9191 0.9191 0.9191  1 Nb 2.93
3 Sm 0.5000 0.5000 0.5000  6 Sm 3.38, 6 Pr 3.66
4 Nb 0.0000 0.0000 0.0000  2 Pr 2.93

---

MgAl2Ga6 | GGA-PBE | relaxed

The energy of formation from the pure elements comes out at 0.0237 eV per atom. Its relative energy among the computed polymorphs is 0.438 kcal/mol of atoms. The calculation puts the density of states at the Fermi level at 2.61 states/eV/f.u. The total energy comes out at -3.003 eV/atom. As for the total magnetization: 0.00 Bohr magnetons per cell. As for the space group: P2_1/c.

Unit cell a=6.2760 b=6.4450 c=9.9230 alpha=90.00 beta=119.97 gamma=90.00
Last column: nearest neighbours and their distance in Å.
Element x y z (fractional)
1 Mg 0.0000 0.0000 0.0000  4 Ga 2.82-2.84
2 Mg 0.0000 0.5000 0.5000  4 Ga 2.82-2.84
3 Al 0.4027 0.1019 0.8562  7 Ga 2.64-2.90, 1 Al 2.81
4 Al 0.4027 0.3981 0.3562  7 Ga 2.64-2.90, 1 Al 2.81
5 Al 0.5973 0.6019 0.6438  7 Ga 2.64-2.90, 1 Al 2.81
6 Al 0.5973 0.8981 0.1438  7 Ga 2.64-2.90, 1 Al 2.81
7 Ga 0.0660 0.1119 0.2956  2 Al 2.64-2.90, 3 Ga 2.74-2.80, 1 Mg 2.84
8 Ga 0.0660 0.3881 0.7956  2 Al 2.64-2.90, 3 Ga 2.74-2.80, 1 Mg 2.84
9 Ga 0.2244 0.6059 0.0665  5 Ga 2.65-2.87, 2 Al 2.80-2.85, 1 Mg 2.82
10 Ga 0.2244 0.8941 0.5665  5 Ga 2.65-2.87, 2 Al 2.80-2.85, 1 Mg 2.82
11 Ga 0.4337 0.6815 0.8591  3 Ga 2.65-2.87, 3 Al 2.72-2.84
12 Ga 0.4337 0.8185 0.3591  3 Ga 2.65-2.87, 3 Al 2.72-2.84
13 Ga 0.5663 0.1815 0.6409  3 Ga 2.65-2.87, 3 Al 2.72-2.84
14 Ga 0.5663 0.3185 0.1409  3 Ga 2.65-2.87, 3 Al 2.72-2.84
15 Ga 0.7756 0.1059 0.4335  5 Ga 2.65-2.87, 2 Al 2.80-2.85, 1 Mg 2.82
16 Ga 0.7756 0.3941 0.9335  5 Ga 2.65-2.87, 2 Al 2.80-2.85, 1 Mg 2.82
17 Ga 0.9340 0.6119 0.2044  2 Al 2.64-2.90, 3 Ga 2.74-2.80, 1 Mg 2.84
18 Ga 0.9340 0.8881 0.7044  2 Al 2.64-2.90, 3 Ga 2.74-2.80, 1 Mg 2.84